Entry from the Alexandria database: a relaxed Li2NdPb crystal (PBE).

Values from the calculation:
Volume = 86.2 Å³ per cell
DFT total energy = -3.42 eV per atom
Symmetry = Fm-3m, No. 225
Formation energy from the elements = -346 meV/atom

a = 4.9580 Å, b = 4.9583 Å, c = 4.9583 Å
α = 60.00°, β = 60.00°, γ = 60.00°
Closest atoms and distances in Å follow each position.
Fractional coordinates of all 4 atoms:
Pb 0.7500 0.7500 0.7500  8 Li 3.04
Nd 0.2500 0.2500 0.2500  8 Li 3.04
Li 0.0000 0.0000 0.0000  4 Pb 3.04, 4 Nd 3.04
Li 0.5000 0.5000 0.5000  4 Pb 3.04, 4 Nd 3.04

---

Entry from the Alexandria database: a relaxed SrZn3Rh crystal (PBE).

Values from the calculation:
Volume = 398.6 Å³ per cell
DFT total energy = -2.78 eV per atom
Energy above the lowest structure with this stoichiometry = 0.1359 eV/atom
Symmetry = C2/c, No. 15
Formation energy from the elements = -211 meV/atom

a = 13.5178 Å, b = 8.2908 Å, c = 8.2908 Å
α = 109.99°, β = 136.78°, γ = 43.22°
Closest atoms and distances in Å follow each position.
Fractional coordinates of all 20 atoms:
Sr 0.7500 0.1986 0.6986  2 Rh 3.01, 4 Zn 3.19-3.30, 2 Sr 3.33
Sr 0.2500 0.8014 0.3014  2 Rh 3.01, 4 Zn 3.19-3.30, 2 Sr 3.33
Sr 0.7500 0.6204 0.1204  4 Rh 3.16-3.45, 8 Zn 3.31-3.42
Sr 0.2500 0.3796 0.8796  4 Rh 3.16-3.45, 8 Zn 3.31-3.42
Zn 0.3746 0.2559 0.3867  2 Rh 2.58-2.68, 5 Zn 2.65-2.87
Zn 0.1254 0.8867 0.7559  2 Rh 2.58-2.68, 5 Zn 2.65-2.87
Zn 0.6254 0.7441 0.6133  2 Rh 2.58-2.68, 5 Zn 2.65-2.87
Zn 0.8746 0.1133 0.2441  2 Rh 2.58-2.68, 5 Zn 2.65-2.87
Zn 0.0500 0.2949 0.0387  1 Rh 2.57, 5 Zn 2.68-2.82
Zn 0.4500 0.5387 0.7949  1 Rh 2.57, 5 Zn 2.68-2.82
Zn 0.9500 0.7051 0.9613  1 Rh 2.57, 5 Zn 2.68-2.82
Zn 0.5500 0.4613 0.2051  1 Rh 2.57, 5 Zn 2.68-2.82
Zn 0.6050 0.0878 0.8932  2 Rh 2.57-2.62, 4 Zn 2.65-2.82
Zn 0.8950 0.3932 0.5878  2 Rh 2.57-2.62, 4 Zn 2.65-2.82
Zn 0.3950 0.9122 0.1068  2 Rh 2.57-2.62, 4 Zn 2.65-2.82
Zn 0.1050 0.6068 0.4122  2 Rh 2.57-2.62, 4 Zn 2.65-2.82
Rh 0.2968 0.1409 0.5223  5 Zn 2.57-2.68, 1 Rh 2.80
Rh 0.2032 0.0223 0.6409  5 Zn 2.57-2.68, 1 Rh 2.80
Rh 0.7032 0.8591 0.4777  5 Zn 2.57-2.68, 1 Rh 2.80
Rh 0.7968 0.9777 0.3591  5 Zn 2.57-2.68, 1 Rh 2.80